Computed, not measured: an optimized crystal structure of ZnRu2 at the GGA-PBE level of DFT.

a = 4.642 Å, b = 4.642 Å, c = 4.642 Å
α = 145.16°, β = 132.55°, γ = 60.20°
Atoms (fractional coordinates):
1 Ru 0.670 0.670 0.000
2 Zn 0.000 0.000 0.000
3 Ru 0.330 0.330 0.000

Summary:
Crystal system   orthorhombic
Space-group type   Immm (71)
E   -19.7 eV/cell
Energy of formation   47 meV/atom
D(E_F)   1.017 states/eV per atom
Magnetization   0.00 Bohr magnetons per cell